No. 1
DFT (PBE) results for a relaxed LaTa2CdAg crystal.

Output
The calculation puts the total moment at 0.11 μB per atom. As for the total energy: -5.061 eV per atom. Its energy of formation is 7.1 eV/f.u. Its symmetry is P4/mmm (123). For the density of states at the Fermi level, the calculation gives 7.1 states/eV per cell.

abc: 5.033 5.597 5.033
angles: 90.00 90.00 90.00
Last column: magnetic moment on the atom in μB.
Positions (direct):
Cd  0.500  0.500  0.500  -0.01
La  0.000  0.500  0.000  -0.01
Ag  0.000  0.000  0.000  0.01
Ta  0.000  0.000  0.500  0.16
Ta  0.500  0.000  0.000  0.25

=====

No. 2
DFT (PBE) results for a relaxed LaTbCdAg crystal.

Output
Its energy above the most stable polymorph in this dataset is 8.0 kJ/mol of formula units. The calculation puts the total moment at 0.00 μB per atom. As for the total energy: -3.613 eV per atom. Its energy of formation is -1.1 eV/f.u. Its symmetry is F-43m (216). For the density of states at the Fermi level, the calculation gives 3.2 states/eV per cell.

abc: 5.373 5.373 5.373
angles: 60.00 60.00 60.00
Positions (direct):
Cd  0.750  0.750  0.750
Tb  0.000  0.000  0.000
Ag  0.250  0.250  0.250
La  0.500  0.500  0.500

=====

No. 3
DFT (PBE) results for a relaxed LaTbCdAg crystal.

Output
Its energy above the most stable polymorph in this dataset is 0.0 kJ/mol of formula units. The calculation puts the total moment at 0.07 μB per atom. As for the total energy: -3.633 eV per atom. Its energy of formation is -1.2 eV/f.u. Its symmetry is P4mm (99). For the density of states at the Fermi level, the calculation gives 3.9 states/eV per cell.

abc: 3.761 3.761 7.704
angles: 90.00 90.00 90.00
Last column: magnetic moment on the atom in μB.
Positions (direct):
La  0.500  0.500  0.112  0.12
Tb  0.500  0.500  0.595  0.01
Cd  0.000  0.000  0.836  0.00
Ag  0.000  0.000  0.384  0.01

=====

No. 4
DFT (PBE) results for a relaxed LaCdAgTe3 crystal.

Output
The calculation puts the total moment at 0.00 μB per atom. As for the total energy: -3.791 eV per atom. The uncorrected formation energy is -4.625 eV per formula unit. Its symmetry is P2_1/m (11).

abc: 4.432 8.836 9.609
angles: 102.55 90.00 90.00
Positions (direct):
La  0.250  0.174  0.241
La  0.750  0.826  0.759
Cd  0.250  0.651  0.163
Cd  0.750  0.349  0.837
Ag  0.250  0.079  0.578
Ag  0.750  0.921  0.422
Te  0.750  0.907  0.125
Te  0.250  0.093  0.875
Te  0.250  0.738  0.487
Te  0.750  0.262  0.513
Te  0.750  0.410  0.148
Te  0.250  0.590  0.852